Model a:
An optimized crystal structure of TaCuBiOs. Source: the Open Quantum Materials Database, functional PBE.

Cell: 4.639 4.639 4.639 Å, 60.00 60.00 60.00°
Fractional coordinates of all 4 atoms:
1 Ta 0.000 0.000 0.000
2 Cu 0.250 0.250 0.250
3 Bi 0.500 0.500 0.500
4 Os 0.750 0.750 0.750


Model b:
An optimized crystal structure of TaCuBiOs. Source: the Open Quantum Materials Database, functional PBE.

Cell: 4.641 4.641 4.641 Å, 60.00 60.00 60.00°
Fractional coordinates of all 4 atoms:
1 Ta 0.000 0.000 0.000
2 Cu 0.500 0.500 0.500
3 Bi 0.250 0.250 0.250
4 Os 0.750 0.750 0.750


The data favor model a; the next most stable structure lies 142 meV/atom above it.


Model a:
An optimized crystal structure of CuBiOsW. Source: the Open Quantum Materials Database, functional PBE.

Cell: 4.589 4.589 4.589 Å, 60.00 60.00 60.00°
Fractional coordinates of all 4 atoms:
1 Cu 0.000 0.000 0.000
2 Bi 0.750 0.750 0.750
3 Os 0.250 0.250 0.250
4 W 0.500 0.500 0.500


Model b:
An optimized crystal structure of CuBiOsW. Source: the Open Quantum Materials Database, functional PBE.

Cell: 4.603 4.603 4.603 Å, 60.00 60.00 60.00°
Fractional coordinates of all 4 atoms:
1 Cu 0.000 0.000 0.000
2 Bi 0.250 0.250 0.250
3 Os 0.500 0.500 0.500
4 W 0.750 0.750 0.750


The data favor model b; the next most stable structure lies 22 meV/atom above it.